No. 1
# GGA-PBE Tb5Sm2Cd, relaxed
# Formation enthalpy at 0 K (eV/atom): -0.02
# Total DFT energy (no corrections) (eV per cell): -33.69
data_Tb5Sm2Cd
_cell_length_a 7.026
_cell_length_b 7.028
_cell_length_c 7.033
_cell_angle_alpha 119.93
_cell_angle_beta 90.06
_cell_angle_gamma 119.96
_space_group_name_H-M_alt 'P 1'
_space_group_IT_number 1
_space_group_name_Hall 'P 1'
loop_
_atom_site_label
_atom_site_type_symbol
_atom_site_fract_x
_atom_site_fract_y
_atom_site_fract_z
Tb1 Tb 0.000 0.000 0.000
Tb2 Tb 0.001 0.001 0.496
Tb3 Tb 0.041 0.522 0.009
Tb4 Tb 0.522 0.044 0.017
Tb5 Tb 0.522 0.045 0.522
Sm1 Sm 0.014 0.522 0.509
Sm2 Sm 0.496 0.523 0.507
Cd1 Cd 0.515 0.523 0.008

No. 2
# GGA-PBE KMgGa2O, relaxed
# Total DFT energy (no corrections) (eV per cell): -15.66
data_KMgGa2O
_cell_length_a 5.534
_cell_length_b 5.534
_cell_length_c 3.819
_cell_angle_alpha 90.00
_cell_angle_beta 90.00
_cell_angle_gamma 90.00
_space_group_name_H-M_alt 'P 4/m m m'
_space_group_IT_number 123
_space_group_name_Hall '-P 4 2'
loop_
_atom_site_label
_atom_site_type_symbol
_atom_site_fract_x
_atom_site_fract_y
_atom_site_fract_z
K1 K 0.000 0.000 0.000
Mg1 Mg 0.500 0.500 0.000
Ga1 Ga 0.000 0.500 0.500
O1 O 0.500 0.500 0.500

No. 3
# GGA-PBE ScInCu2H, relaxed
# Total DFT energy (no corrections) (eV per cell): -21.25
data_ScInCu2H
_cell_length_a 4.240
_cell_length_b 4.240
_cell_length_c 3.953
_cell_angle_alpha 90.00
_cell_angle_beta 90.00
_cell_angle_gamma 90.00
_space_group_name_H-M_alt 'P 4/m m m'
_space_group_IT_number 123
_space_group_name_Hall '-P 4 2'
loop_
_atom_site_label
_atom_site_type_symbol
_atom_site_fract_x
_atom_site_fract_y
_atom_site_fract_z
Sc1 Sc 0.000 0.000 0.000
In1 In 0.500 0.500 0.000
Cu1 Cu 0.000 0.500 0.500
H1 H 0.000 0.000 0.500